*A*
The following is a DFT calculation (GGA-PBEsol) of an optimized crystal structure of LiCu2Re.

Unit cell a=2.480 b=3.840 c=5.309 alpha=90.00 beta=90.00 gamma=90.00
Fractional positions:
Li 0.000 0.000 0.000
Cu 0.500 0.500 0.256
Cu 0.500 0.500 0.744
Re 0.000 0.000 0.500

SG: Pmmm

---

*B*
The following is a DFT calculation (GGA-PBEsol) of an optimized crystal structure of LiCu2Re.

Unit cell a=4.125 b=4.125 c=4.125 alpha=60.00 beta=60.00 gamma=60.00
Fractional positions:
Li 0.000 0.000 0.000
Cu 0.250 0.250 0.250
Cu 0.750 0.750 0.750
Re 0.500 0.500 0.500

SG: Fm-3m

---

*C*
The following is a DFT calculation (GGA-PBEsol) of an optimized crystal structure of LiCu2Re.

Unit cell a=2.517 b=4.419 c=4.459 alpha=90.00 beta=90.00 gamma=90.00
Fractional positions:
Li 0.000 0.000 0.000
Cu 0.000 0.500 0.500
Cu 0.500 0.000 0.500
Re 0.500 0.500 0.000

SG: Pmmm

---

Which structure is the least stable? The one labeled *B*.

---

*A*
The following is a DFT calculation (GGA-PBEsol) of an optimized crystal structure of Li2CuRe.

Unit cell a=4.889 b=4.889 c=4.616 alpha=104.64 beta=104.64 gamma=29.31
Fractional positions:
Li 0.238 0.238 0.249
Li 0.762 0.762 0.751
Cu 0.500 0.500 0.000
Re 0.000 0.000 0.500

SG: C2/m

---

*B*
The following is a DFT calculation (GGA-PBEsol) of an optimized crystal structure of Li2CuRe.

Unit cell a=4.080 b=4.080 c=4.080 alpha=60.00 beta=60.00 gamma=60.00
Fractional positions:
Li 0.250 0.250 0.250
Li 0.750 0.750 0.750
Cu 0.000 0.000 0.000
Re 0.500 0.500 0.500

SG: Fm-3m

---

*C*
The following is a DFT calculation (GGA-PBEsol) of an optimized crystal structure of Li2CuRe.

Unit cell a=2.463 b=4.129 c=5.302 alpha=90.00 beta=90.00 gamma=90.00
Fractional positions:
Li 0.000 0.000 0.000
Li 0.500 0.500 0.230
Cu 0.500 0.500 0.702
Re 0.000 0.000 0.515

SG: Pmm2

---

Which structure is the least stable? The one labeled *B*.

---

*A*
The following is a DFT calculation (GGA-PBEsol) of an optimized crystal structure of Li2CuRu.

Unit cell a=2.424 b=4.141 c=5.118 alpha=90.00 beta=90.00 gamma=90.00
Fractional positions:
Li 0.000 0.000 0.000
Li 0.500 0.500 0.245
Cu 0.500 0.500 0.716
Ru 0.000 0.000 0.514

SG: Pmm2

---

*B*
The following is a DFT calculation (GGA-PBEsol) of an optimized crystal structure of Li2CuRu.

Unit cell a=5.145 b=5.145 c=5.145 alpha=152.11 beta=128.86 gamma=59.26
Fractional positions:
Li 0.000 0.000 0.000
Li 0.749 0.249 0.500
Cu 0.513 0.513 0.000
Ru 0.265 0.765 0.500

SG: Imm2

---

Which structure is the least stable? The one labeled *B*.

---

*A*
The following is a DFT calculation (GGA-PBEsol) of an optimized crystal structure of Li2CuRu.

Unit cell a=4.626 b=4.626 c=4.605 alpha=99.35 beta=99.35 gamma=30.77
Fractional positions:
Li 0.245 0.245 0.256
Li 0.755 0.755 0.744
Cu 0.500 0.500 0.000
Ru 0.000 0.000 0.500

SG: C2/m

---

*B*
The following is a DFT calculation (GGA-PBEsol) of an optimized crystal structure of Li2CuRu.

Unit cell a=2.427 b=4.383 c=4.679 alpha=90.00 beta=92.65 gamma=90.00
Fractional positions:
Li 0.186 0.000 0.240
Li 0.814 0.000 0.760
Cu 0.000 0.500 0.500
Ru 0.500 0.500 0.000

SG: P2/m

---

Which structure is the least stable? The one labeled *B*.

---

*A*
The following is a DFT calculation (GGA-PBEsol) of an optimized crystal structure of Li2Cu4S3.

Unit cell a=7.766 b=10.466 c=6.137 alpha=90.00 beta=90.00 gamma=90.00
Fractional positions:
Li 0.000 0.000 0.000
Li 0.000 0.500 0.000
Li 0.005 0.250 0.329
Li 0.495 0.750 0.829
Li 0.500 0.000 0.500
Li 0.500 0.500 0.500
Li 0.505 0.250 0.171
Li 0.995 0.750 0.671
Cu 0.128 0.075 0.599
Cu 0.128 0.425 0.599
Cu 0.166 0.750 0.993
Cu 0.193 0.250 0.964
Cu 0.307 0.750 0.464
Cu 0.334 0.250 0.493
Cu 0.372 0.575 0.099
Cu 0.372 0.925 0.099
Cu 0.628 0.075 0.901
Cu 0.628 0.425 0.901
Cu 0.666 0.750 0.507
Cu 0.693 0.250 0.536
Cu 0.807 0.750 0.036
Cu 0.834 0.250 0.007
Cu 0.872 0.575 0.401
Cu 0.872 0.925 0.401
S 0.020 0.750 0.293
S 0.245 0.093 0.250
S 0.245 0.407 0.250
S 0.255 0.593 0.750
S 0.255 0.907 0.750
S 0.480 0.250 0.793
S 0.520 0.750 0.207
S 0.745 0.093 0.250
S 0.745 0.407 0.250
S 0.755 0.593 0.750
S 0.755 0.907 0.750
S 0.980 0.250 0.707

SG: Pnma

---

*B*
The following is a DFT calculation (GGA-PBEsol) of an optimized crystal structure of Li2Cu4S3.

Unit cell a=7.897 b=7.897 c=9.705 alpha=108.17 beta=108.17 gamma=27.33
Fractional positions:
Li 0.171 0.171 0.393
Li 0.287 0.287 0.145
Li 0.713 0.713 0.855
Li 0.829 0.829 0.607
Cu 0.088 0.088 0.606
Cu 0.091 0.091 0.986
Cu 0.459 0.459 0.862
Cu 0.466 0.466 0.602
Cu 0.534 0.534 0.398
Cu 0.541 0.541 0.138
Cu 0.909 0.909 0.014
Cu 0.912 0.912 0.394
S 0.001 0.001 0.753
S 0.327 0.327 0.914
S 0.332 0.332 0.417
S 0.668 0.668 0.583
S 0.673 0.673 0.086
S 0.999 0.999 0.247

SG: C2/m

---

*C*
The following is a DFT calculation (GGA-PBEsol) of an optimized crystal structure of Li2Cu4S3.

Unit cell a=7.028 b=7.028 c=6.026 alpha=110.94 beta=110.94 gamma=77.99
Fractional positions:
Li 0.088 0.214 0.192
Li 0.214 0.088 0.692
Li 0.786 0.912 0.308
Li 0.912 0.786 0.808
Cu 0.095 0.622 0.393
Cu 0.239 0.523 0.035
Cu 0.378 0.905 0.107
Cu 0.477 0.761 0.465
Cu 0.523 0.239 0.535
Cu 0.622 0.095 0.893
Cu 0.761 0.477 0.965
Cu 0.905 0.378 0.607
S 0.147 0.853 0.250
S 0.236 0.413 0.631
S 0.413 0.236 0.131
S 0.587 0.764 0.869
S 0.764 0.587 0.369
S 0.853 0.147 0.750

SG: C2/c

---

Which structure is the least stable? The one labeled *C*.

---

*A*
The following is a DFT calculation (GGA-PBEsol) of an optimized crystal structure of Li2ScCu.

Unit cell a=9.456 b=9.456 c=9.456 alpha=17.61 beta=17.61 gamma=17.61
Fractional positions:
Li 0.238 0.238 0.238
Li 0.762 0.762 0.762
Sc 0.000 0.000 0.000
Cu 0.500 0.500 0.500

SG: R-3m

---

*B*
The following is a DFT calculation (GGA-PBEsol) of an optimized crystal structure of Li2ScCu.

Unit cell a=4.500 b=4.500 c=4.500 alpha=60.00 beta=60.00 gamma=60.00
Fractional positions:
Li 0.000 0.000 0.000
Li 0.250 0.250 0.250
Sc 0.500 0.500 0.500
Cu 0.750 0.750 0.750

SG: F-43m

---

Which structure is the least stable? The one labeled *A*.